Entry 1:
DFT (PBE) results for crystalline ThZr2Sb3 at its relaxed geometry.

a = 4.0871 Å, b = 11.3107 Å, c = 7.2083 Å
α = 90.00°, β = 90.00°, γ = 90.00°
Fractional positions:
Th 0.0000 0.1290 0.0000
Th 0.0000 0.8710 0.5000
Zr 0.0000 0.2165 0.4946
Zr 0.0000 0.7835 0.9946
Zr 0.5000 0.4848 0.5087
Zr 0.5000 0.5152 0.0087
Sb 0.0000 0.3915 0.7787
Sb 0.0000 0.6085 0.2787
Sb 0.5000 0.0638 0.6658
Sb 0.5000 0.2934 0.2304
Sb 0.5000 0.7066 0.7304
Sb 0.5000 0.9362 0.1658

Output
For the density of states at the Fermi level, the calculation gives 9.824 states/eV/cell. As for the density: 7.77 Mg/m³. Its space-group type is Pmc2_1, No. 26. The calculation puts the formation energy without anion corrections at -378 kJ/mol of formula units.


Entry 2:
DFT (PBE) results for crystalline InIr2Cl at its relaxed geometry.

a = 6.0256 Å, b = 6.0256 Å, c = 4.5867 Å
α = 112.20°, β = 112.20°, γ = 27.79°
Fractional positions:
In 0.0000 0.0000 0.0000
Ir 0.2764 0.2764 0.7763
Ir 0.7236 0.7236 0.2237
Cl 0.5000 0.5000 0.5000

Output
For the density of states at the Fermi level, the calculation gives 4.075 states/eV/cell. As for the density: 12.41 Mg/m³. Its space-group type is C2/m, No. 12. For the polymorph energy (0 for the lowest one), the calculation gives 222 meV/atom. The calculation puts the formation energy without anion corrections at 153 kJ/mol of formula units.


Entry 3:
DFT (PBE) results for crystalline Ac2PuTcN4 at its relaxed geometry.

a = 6.6187 Å, b = 6.6187 Å, c = 12.8657 Å
α = 90.00°, β = 90.00°, γ = 148.98°
Fractional positions:
Ac 0.1320 0.8680 0.5403
Ac 0.1320 0.8680 0.9597
Ac 0.8680 0.1320 0.0403
Ac 0.8680 0.1320 0.4597
Pu 0.3649 0.6351 0.7500
Pu 0.6351 0.3649 0.2500
Tc 0.3443 0.6557 0.2500
Tc 0.6557 0.3443 0.7500
N 0.0906 0.9094 0.7500
N 0.2188 0.7812 0.1483
N 0.2188 0.7812 0.3517
N 0.5000 0.5000 0.0000
N 0.5000 0.5000 0.5000
N 0.7812 0.2188 0.6483
N 0.7812 0.2188 0.8517
N 0.9094 0.0906 0.2500

Output
For the density of states at the Fermi level, the calculation gives 20.368 states/eV/cell. As for the density: 9.74 Mg/m³. Its space-group type is Cmcm, No. 63. The calculation puts the formation energy without anion corrections at -471 kJ/mol of formula units.


Entry 4:
DFT (PBE) results for crystalline GdScPd4 at its relaxed geometry.

a = 5.3910 Å, b = 5.3910 Å, c = 5.3910 Å
α = 60.00°, β = 60.00°, γ = 60.00°
Fractional positions:
Gd 0.0000 0.0000 0.0000
Sc 0.7500 0.7500 0.7500
Pd 0.3753 0.3753 0.3753
Pd 0.3753 0.3753 0.8740
Pd 0.3753 0.8740 0.3753
Pd 0.8740 0.3753 0.3753

Output
For the density of states at the Fermi level, the calculation gives 3.968 states/eV/cell. The formation energy comes out at -0.7287 eV/atom. As for the density: 9.41 Mg/m³. Its space-group type is F-43m, No. 216.


Entry 5:
DFT (PBE) results for crystalline La2TiH at its relaxed geometry.

a = 7.6030 Å, b = 7.6030 Å, c = 7.6030 Å
α = 138.33°, β = 138.33°, γ = 60.39°
Fractional positions:
La 0.0693 0.6250 0.9443
La 0.3750 0.3193 0.4443
La 0.6807 0.1250 0.0557
La 0.8750 0.9307 0.5557
Ti 0.2500 0.7500 0.5000
Ti 0.5000 0.5000 0.0000
H 0.0000 0.0000 0.0000
H 0.7500 0.2500 0.5000

Output
For the density of states at the Fermi level, the calculation gives 12.890 states/eV/cell. As for the density: 5.65 Mg/m³. Its space-group type is I-42d, No. 122. For the polymorph energy (0 for the lowest one), the calculation gives 237 meV/atom.


Entry 6:
DFT (PBE) results for crystalline DyYPd2 at its relaxed geometry.

a = 5.0171 Å, b = 5.0171 Å, c = 3.4409 Å
α = 90.00°, β = 90.00°, γ = 90.00°
Fractional positions:
Dy 0.0000 0.0000 0.0000
Y 0.5000 0.5000 0.0000
Pd 0.0000 0.5000 0.5000
Pd 0.5000 0.0000 0.5000

Output
For the density of states at the Fermi level, the calculation gives 1.841 states/eV/cell. The formation energy comes out at -0.8836 eV/atom. As for the density: 8.90 Mg/m³. Its space-group type is P4/mmm, No. 123. For the polymorph energy (0 for the lowest one), the calculation gives 27 meV/atom.


Entry 7:
DFT (PBE) results for crystalline Dy4AlCu2 at its relaxed geometry.

a = 8.4000 Å, b = 8.4000 Å, c = 8.4000 Å
α = 34.16°, β = 34.16°, γ = 34.16°
Fractional positions:
Dy 0.1170 0.1170 0.1170
Dy 0.3704 0.3704 0.3704
Dy 0.6296 0.6296 0.6296
Dy 0.8830 0.8830 0.8830
Al 0.5000 0.5000 0.5000
Cu 0.2426 0.2426 0.2426
Cu 0.7574 0.7574 0.7574

Output
For the density of states at the Fermi level, the calculation gives 6.543 states/eV/cell. The formation energy comes out at -0.1620 eV/atom. As for the density: 8.01 Mg/m³. Its space-group type is R-3m, No. 166. For the polymorph energy (0 for the lowest one), the calculation gives 0 meV/atom.


Entry 8:
DFT (PBE) results for crystalline BaRh3I at its relaxed geometry.

a = 5.2236 Å, b = 5.2236 Å, c = 5.2236 Å
α = 90.00°, β = 90.00°, γ = 90.00°
Fractional positions:
Ba 0.0000 0.0000 0.0000
Rh 0.0000 0.0000 0.5000
Rh 0.0000 0.5000 0.0000
Rh 0.5000 0.0000 0.0000
I 0.5000 0.5000 0.5000

Output
For the density of states at the Fermi level, the calculation gives 10.224 states/eV/cell. As for the density: 6.67 Mg/m³. Its space-group type is Pm-3m, No. 221. For the polymorph energy (0 for the lowest one), the calculation gives 1264 meV/atom. The calculation puts the formation energy without anion corrections at 789 kJ/mol of formula units.


Entry 9:
DFT (PBE) results for crystalline Tb5Pm2ErTh at its relaxed geometry.

a = 11.1591 Å, b = 11.1591 Å, c = 9.8017 Å
α = 90.00°, β = 90.00°, γ = 150.24°
Fractional positions:
Tb 0.0148 0.9852 0.5000
Tb 0.2704 0.7296 0.8119
Tb 0.3049 0.6951 0.2010
Tb 0.3969 0.6031 0.5264
Tb 0.4701 0.5299 0.2274
Tb 0.5299 0.4701 0.7274
Tb 0.6031 0.3969 0.0264
Tb 0.6951 0.3049 0.7010
Tb 0.7296 0.2704 0.3119
Tb 0.9852 0.0148 0.0000
Pm 0.1147 0.8853 0.8114
Pm 0.1296 0.8704 0.1957
Pm 0.8704 0.1296 0.6957
Pm 0.8853 0.1147 0.3114
Er 0.1904 0.8096 0.5011
Er 0.8096 0.1904 0.0011
Th 0.4042 0.5958 0.9104
Th 0.5958 0.4042 0.4104

Output
For the density of states at the Fermi level, the calculation gives 25.965 states/eV/cell. The formation energy comes out at 0.1601 eV/atom. As for the density: 8.14 Mg/m³. Its space-group type is Cmc2_1, No. 36.


Entry 10:
DFT (PBE) results for crystalline Ba2Zn4Ga3Hg at its relaxed geometry.

a = 4.5761 Å, b = 4.5761 Å, c = 11.2214 Å
α = 90.00°, β = 90.00°, γ = 90.00°
Fractional positions:
Ba 0.0000 0.5000 0.2439
Ba 0.5000 0.0000 0.7561
Zn 0.0000 0.0000 0.0000
Zn 0.0000 0.5000 0.6384
Zn 0.5000 0.0000 0.3616
Zn 0.5000 0.5000 0.0000
Ga 0.0000 0.5000 0.8767
Ga 0.5000 0.0000 0.1233
Ga 0.5000 0.5000 0.5000
Hg 0.0000 0.0000 0.5000

Output
For the density of states at the Fermi level, the calculation gives 7.221 states/eV/cell. The formation energy comes out at -0.3018 eV/atom. As for the density: 6.69 Mg/m³. Its space-group type is P-4m2, No. 115.


Entry 11:
DFT (PBE) results for crystalline Dy3Be6Pd20 at its relaxed geometry.

a = 8.4718 Å, b = 8.4718 Å, c = 8.4718 Å
α = 60.00°, β = 60.00°, γ = 60.00°
Fractional positions:
Dy 0.0000 0.0000 0.0000
Dy 0.2500 0.2500 0.2500
Dy 0.7500 0.7500 0.7500
Be 0.2722 0.2722 0.7278
Be 0.2722 0.7278 0.2722
Be 0.2722 0.7278 0.7278
Be 0.7278 0.2722 0.2722
Be 0.7278 0.2722 0.7278
Be 0.7278 0.7278 0.2722
Pd 0.0000 0.0000 0.3411
Pd 0.0000 0.0000 0.6589
Pd 0.0000 0.3411 0.0000
Pd 0.0000 0.3411 0.6589
Pd 0.0000 0.6589 0.0000
Pd 0.0000 0.6589 0.3411
Pd 0.1487 0.6171 0.6171
Pd 0.3411 0.0000 0.0000
Pd 0.3411 0.0000 0.6589
Pd 0.3411 0.6589 0.0000
Pd 0.3829 0.3829 0.3829
Pd 0.3829 0.3829 0.8513
Pd 0.3829 0.8513 0.3829
Pd 0.6171 0.1487 0.6171
Pd 0.6171 0.6171 0.1487
Pd 0.6171 0.6171 0.6171
Pd 0.6589 0.0000 0.0000
Pd 0.6589 0.0000 0.3411
Pd 0.6589 0.3411 0.0000
Pd 0.8513 0.3829 0.3829

Output
For the density of states at the Fermi level, the calculation gives 6.994 states/eV/cell. The formation energy comes out at -0.6566 eV/atom. As for the density: 10.31 Mg/m³. Its space-group type is Fm-3m, No. 225.


Entry 12:
DFT (PBE) results for crystalline LiU2Br6 at its relaxed geometry.

a = 8.5063 Å, b = 8.5063 Å, c = 10.0516 Å
α = 111.11°, β = 111.11°, γ = 25.99°
Fractional positions:
Li 0.0000 0.0000 0.0000
U 0.3241 0.3241 0.6506
U 0.6759 0.6759 0.3494
Br 0.0350 0.0350 0.3053
Br 0.3115 0.3115 0.3484
Br 0.3766 0.3766 0.9539
Br 0.6234 0.6234 0.0461
Br 0.6885 0.6885 0.6516
Br 0.9650 0.9650 0.6947

Output
For the density of states at the Fermi level, the calculation gives 10.881 states/eV/cell. As for the density: 5.40 Mg/m³. Its space-group type is C2/m, No. 12. The calculation puts the formation energy without anion corrections at -1050 kJ/mol of formula units.


Entry 13:
DFT (PBE) results for crystalline Ba2Zr2S5 at its relaxed geometry.

a = 7.3834 Å, b = 7.3834 Å, c = 7.5708 Å
α = 110.89°, β = 110.89°, γ = 40.79°
Fractional positions:
Ba 0.1027 0.1027 0.3071
Ba 0.8973 0.8973 0.6929
Zr 0.3375 0.3375 0.1020
Zr 0.6625 0.6625 0.8980
S 0.1457 0.1457 0.8987
S 0.3464 0.3464 0.4291
S 0.5000 0.5000 0.0000
S 0.6536 0.6536 0.5709
S 0.8543 0.8543 0.1013

Output
For the density of states at the Fermi level, the calculation gives 3.698 states/eV/cell. As for the density: 4.11 Mg/m³. Its space-group type is C2/m, No. 12. The calculation puts the formation energy without anion corrections at -1488 kJ/mol of formula units.


Entry 14:
DFT (PBE) results for crystalline Pm7Dy4In at its relaxed geometry.

a = 11.6058 Å, b = 11.6058 Å, c = 6.4523 Å
α = 100.57°, β = 100.57°, γ = 28.17°
Fractional positions:
Pm 0.0000 0.0000 0.0000
Pm 0.1379 0.1379 0.5145
Pm 0.2085 0.2085 0.0690
Pm 0.4530 0.4530 0.6892
Pm 0.5470 0.5470 0.3108
Pm 0.7915 0.7915 0.9310
Pm 0.8621 0.8621 0.4855
Dy 0.2929 0.2929 0.6041
Dy 0.3844 0.3844 0.1544
Dy 0.6156 0.6156 0.8456
Dy 0.7071 0.7071 0.3959
In 0.0000 0.0000 0.5000

Output
For the density of states at the Fermi level, the calculation gives 18.682 states/eV/cell. The formation energy comes out at 0.0340 eV/atom. As for the density: 7.34 Mg/m³. Its space-group type is C2/m, No. 12.


Entry 15:
DFT (PBE) results for crystalline Ce2MgTc at its relaxed geometry.

a = 4.9097 Å, b = 4.9097 Å, c = 3.7945 Å
α = 90.00°, β = 90.00°, γ = 90.00°
Fractional positions:
Ce 0.0000 0.5000 0.0000
Ce 0.5000 0.0000 0.0000
Mg 0.0000 0.0000 0.5000
Tc 0.5000 0.5000 0.5000

Output
For the density of states at the Fermi level, the calculation gives 5.842 states/eV/cell. The formation energy comes out at 0.1037 eV/atom. As for the density: 7.31 Mg/m³. Its space-group type is P4/mmm, No. 123.


Entry 16:
DFT (PBE) results for crystalline Ba3Tl4Pb2 at its relaxed geometry.

a = 7.0352 Å, b = 7.0352 Å, c = 10.3003 Å
α = 106.12°, β = 106.12°, γ = 43.75°
Fractional positions:
Ba 0.0000 0.0000 0.0000
Ba 0.3169 0.3169 0.3476
Ba 0.6831 0.6831 0.6524
Tl 0.0016 0.0016 0.6566
Tl 0.2501 0.2501 0.9186
Tl 0.7499 0.7499 0.0814
Tl 0.9984 0.9984 0.3434
Pb 0.3846 0.3846 0.7124
Pb 0.6154 0.6154 0.2876

Output
For the density of states at the Fermi level, the calculation gives 3.774 states/eV/cell. The formation energy comes out at -0.3937 eV/atom. As for the density: 8.12 Mg/m³. Its space-group type is C2/m, No. 12. For the polymorph energy (0 for the lowest one), the calculation gives 0 meV/atom.


Entry 17:
DFT (PBE) results for crystalline Sr4AgRh at its relaxed geometry.

a = 6.6964 Å, b = 6.6964 Å, c = 6.6964 Å
α = 60.00°, β = 60.00°, γ = 60.00°
Fractional positions:
Sr 0.3758 0.3758 0.3758
Sr 0.3758 0.3758 0.8726
Sr 0.3758 0.8726 0.3758
Sr 0.8726 0.3758 0.3758
Ag 0.0000 0.0000 0.0000
Rh 0.7500 0.7500 0.7500

Output
For the density of states at the Fermi level, the calculation gives 7.559 states/eV/cell. The formation energy comes out at 0.7952 eV/atom. As for the density: 4.39 Mg/m³. Its space-group type is F-43m, No. 216.


Entry 18:
DFT (PBE) results for crystalline LuPaCuRu at its relaxed geometry.

a = 4.8191 Å, b = 4.8191 Å, c = 4.8191 Å
α = 60.00°, β = 60.00°, γ = 60.00°
Fractional positions:
Lu 0.0000 0.0000 0.0000
Pa 0.5000 0.5000 0.5000
Cu 0.2500 0.2500 0.2500
Ru 0.7500 0.7500 0.7500

Output
For the density of states at the Fermi level, the calculation gives 3.711 states/eV/cell. The formation energy comes out at -0.2559 eV/atom. As for the density: 11.97 Mg/m³. Its space-group type is F-43m, No. 216.


Entry 19:
DFT (PBE) results for crystalline Rb3Ho2SnTe6 at its relaxed geometry.

a = 7.8564 Å, b = 7.8564 Å, c = 8.9326 Å
α = 98.42°, β = 98.42°, γ = 120.01°
Fractional positions:
Rb 0.0000 0.0000 0.0000
Rb 0.3340 0.6660 0.0000
Rb 0.6660 0.3340 0.0000
Ho 0.1667 0.8333 0.5000
Ho 0.8333 0.1667 0.5000
Sn 0.5000 0.5000 0.5000
Te 0.0990 0.4343 0.3032
Te 0.2302 0.2302 0.6967
Te 0.4343 0.0990 0.3032
Te 0.5657 0.9010 0.6968
Te 0.7698 0.7698 0.3033
Te 0.9010 0.5657 0.6968

Output
For the density of states at the Fermi level, the calculation gives 4.055 states/eV/cell. As for the density: 5.35 Mg/m³. Its space-group type is C2/m, No. 12. The calculation puts the formation energy without anion corrections at -1256 kJ/mol of formula units.


Entry 20:
DFT (PBE) results for crystalline NdAl4Ni at its relaxed geometry.

a = 8.9369 Å, b = 8.9369 Å, c = 5.9151 Å
α = 90.00°, β = 90.00°, γ = 150.98°
Fractional positions:
Nd 0.1027 0.8973 0.7500
Nd 0.8973 0.1027 0.2500
Al 0.1499 0.8501 0.2500
Al 0.2933 0.7067 0.0080
Al 0.2933 0.7067 0.4920
Al 0.5000 0.5000 0.0000
Al 0.5000 0.5000 0.5000
Al 0.7067 0.2933 0.5080
Al 0.7067 0.2933 0.9920
Al 0.8501 0.1499 0.7500
Ni 0.3990 0.6010 0.7500
Ni 0.6010 0.3990 0.2500

Output
For the density of states at the Fermi level, the calculation gives 5.203 states/eV/cell. The formation energy comes out at -0.3351 eV/atom. As for the density: 4.50 Mg/m³. Its space-group type is Cmcm, No. 63.